# ReAs2Pb, relaxed, DFT PBE
# Energy of formation in eV per atom: 0.930
# Calculated density in g/cm3: 11.5
# Magnetization in μB per cell: 1.0
# Density of states at the Fermi level in states/eV per cell: 4.82
data_ReAs2Pb
_symmetry_space_group_name_H-M 'P 1'
_symmetry_Int_Tables_number 1
_symmetry_space_group_name_Hall 'P 1'
_cell_length_a 4.887
_cell_length_b 4.887
_cell_length_c 3.279
_cell_angle_alpha 90.00
_cell_angle_beta 90.00
_cell_angle_gamma 90.00
loop_
_atom_site_label
_atom_site_type_symbol
_atom_site_fract_x
_atom_site_fract_y
_atom_site_fract_z
Pb1 Pb 0.500 0.000 0.500
Re1 Re 0.000 0.500 0.500
As1 As 0.500 0.500 0.000
As2 As 0.000 0.000 0.000